Entry from Alexandria: an optimized crystal structure of GdTh3H (PBE).

abc: 5.088 5.088 5.088
angles: 90.00 90.00 90.00
Atoms (fractional coordinates):
1 Gd 0.500 0.500 0.500
2 Th 0.000 0.000 0.500
3 H 0.000 0.000 0.000
4 Th 0.000 0.500 0.000
5 Th 0.500 0.000 0.000

E, eV/atom: -8.00
V, Å³/atom: 26.34
Space-group type: Pm-3m

***

Entry from Alexandria: an optimized crystal structure of TbPm4Nd3 (PBE).

abc: 3.519 6.940 12.032
angles: 106.77 98.41 90.00
Atoms (fractional coordinates):
1 Nd 0.125 0.885 0.249
2 Pm 0.876 0.635 0.752
3 Tb 0.500 0.000 0.000
4 Pm 0.742 0.244 0.483
5 Pm 0.258 0.756 0.517
6 Nd 0.000 0.500 0.000
7 Pm 0.124 0.365 0.248
8 Nd 0.875 0.115 0.751

ΔE_f, eV/atom: 0.150
V, Å³/atom: 34.76
Space-group type: C2/m
Energy above the most stable polymorph in this dataset, eV per atom: 0.119

***

Entry from Alexandria: an optimized crystal structure of SrCaLa (PBE).

abc: 6.295 6.295 3.765
angles: 90.00 90.00 120.00
Atoms (fractional coordinates):
1 Ca 0.000 0.000 0.965
2 La 0.667 0.333 0.335
3 Sr 0.333 0.667 0.699

ΔE_f, eV/atom: 0.124
V, Å³/atom: 43.07
Space-group type: P3m1
Energy above the most stable polymorph in this dataset, eV per atom: 0.091

***

Entry from Alexandria: an optimized crystal structure of InBi2Pb2 (PBE).

abc: 4.946 4.946 8.254
angles: 72.56 72.56 90.00
Atoms (fractional coordinates):
1 Bi 0.394 0.394 0.212
2 Pb 0.750 0.250 0.500
3 Pb 0.250 0.750 0.500
4 Bi 0.606 0.606 0.788
5 In 0.000 0.000 0.000

ΔE_f, eV/atom: 0.119
V, Å³/atom: 36.58
Space-group type: I4/mmm
Energy above the most stable polymorph in this dataset, eV per atom: 0.088

***

Entry from Alexandria: an optimized crystal structure of NbSe2O6 (PBE).

abc: 5.079 5.079 7.273
angles: 69.56 69.56 60.00
Atoms (fractional coordinates):
1 Nb 0.667 0.667 0.999
2 O 0.943 0.566 0.188
3 O 0.693 0.070 0.811
4 O 0.426 0.693 0.811
5 Se 0.235 0.235 0.296
6 Se 0.432 0.432 0.703
7 O 0.302 0.943 0.188
8 O 0.070 0.426 0.811
9 O 0.566 0.302 0.188

Energy relative to the elements, uncorrected, eV per formula unit: -11.1
V, Å³/atom: 16.52
Space-group type: R3

***

Entry from Alexandria: an optimized crystal structure of DyHoEr2Sc4 (PBE).

abc: 9.061 9.061 11.238
angles: 128.32 128.32 88.60
Atoms (fractional coordinates):
1 Sc 0.252 0.252 0.001
2 Sc 0.749 0.251 0.000
3 Sc 0.747 0.748 0.999
4 Dy 0.000 0.000 0.000
5 Er 0.000 0.000 0.500
6 Sc 0.249 0.751 0.500
7 Dy 0.500 0.500 0.500
8 Er 0.500 0.500 0.000
9 Sc 0.248 0.248 0.499
10 Sc 0.751 0.249 0.500
11 Ho 0.000 0.500 0.000
12 Sc 0.251 0.749 0.000
13 Er 0.500 0.000 0.000
14 Ho 0.000 0.500 0.500
15 Sc 0.752 0.753 0.501
16 Er 0.500 0.000 0.500

ΔE_f, eV/atom: 0.436
V, Å³/atom: 28.79
Space-group type: C2/c

***

Entry from Alexandria: an optimized crystal structure of Sm3Cu3Ni2 (PBE).

abc: 4.024 5.552 15.220
angles: 90.00 90.00 111.25
Atoms (fractional coordinates):
1 Sm 0.877 0.754 0.408
2 Sm 0.123 0.246 0.908
3 Ni 0.821 0.642 0.883
4 Sm 0.877 0.754 0.092
5 Sm 0.123 0.246 0.592
6 Ni 0.821 0.642 0.617
7 Cu 0.409 0.817 0.949
8 Cu 0.684 0.368 0.750
9 Cu 0.316 0.632 0.250
10 Ni 0.179 0.358 0.383
11 Sm 0.396 0.792 0.750
12 Cu 0.591 0.183 0.051
13 Ni 0.179 0.358 0.117
14 Cu 0.409 0.817 0.551
15 Sm 0.604 0.208 0.250
16 Cu 0.591 0.183 0.449

ΔE_f, eV/atom: -0.280
V, Å³/atom: 19.81
Space-group type: Cmcm

***

Entry from Alexandria: an optimized crystal structure of La2Nd6Tm5 (PBE).

abc: 3.656 11.880 20.491
angles: 90.00 90.00 90.00
Atoms (fractional coordinates):
1 Nd 0.500 0.822 0.377
2 Nd 0.000 0.420 0.864
3 La 0.000 0.835 0.218
4 Nd 0.000 0.580 0.136
5 Nd 0.000 0.080 0.364
6 Tm 0.500 0.096 0.221
7 Tm 0.500 0.701 0.554
8 La 0.000 0.335 0.282
9 La 0.000 0.165 0.782
10 Nd 0.500 0.322 0.123
11 Nd 0.500 0.678 0.877
12 Tm 0.500 0.201 0.946
13 Tm 0.500 0.000 0.500
14 Nd 0.000 0.557 0.423
15 Tm 0.500 0.404 0.721
16 Nd 0.000 0.943 0.923
17 Tm 0.500 0.799 0.054
18 Tm 0.500 0.596 0.279
19 Nd 0.000 0.443 0.577
20 Nd 0.000 0.920 0.636
21 Tm 0.500 0.904 0.779
22 Tm 0.500 0.299 0.446
23 Nd 0.000 0.057 0.077
24 Tm 0.500 0.500 0.000
25 La 0.000 0.665 0.718
26 Nd 0.500 0.178 0.623

ΔE_f, eV/atom: 0.103
V, Å³/atom: 34.23
Space-group type: Pbam

***

Entry from Alexandria: an optimized crystal structure of ErTm2Ni (PBE).

abc: 3.734 3.734 9.057
angles: 78.10 78.10 60.00
Atoms (fractional coordinates):
1 Ni 0.666 0.666 0.003
2 Er 0.502 0.502 0.495
3 Tm 0.274 0.274 0.179
4 Tm 0.059 0.059 0.823

ΔE_f, eV/atom: -0.112
V, Å³/atom: 26.56
Space-group type: R3m
Energy above the most stable polymorph in this dataset, eV per atom: 0.162

***

Entry from Alexandria: an optimized crystal structure of LiPaBeAl (PBE).

abc: 4.529 4.529 4.529
angles: 60.00 60.00 60.00
Atoms (fractional coordinates):
1 Pa 0.750 0.750 0.750
2 Al 0.250 0.250 0.250
3 Li 0.500 0.500 0.500
4 Be 0.000 0.000 0.000

ΔE_f, eV/atom: 0.151
V, Å³/atom: 16.42
Space-group type: F-43m

***

Entry from Alexandria: an optimized crystal structure of Pm2SmDy2Er (PBE).

abc: 3.388 6.614 17.959
angles: 90.00 90.00 90.00
Atoms (fractional coordinates):
1 Dy 0.000 0.270 0.147
2 Er 0.000 0.000 0.000
3 Pm 0.000 0.768 0.185
4 Dy 0.500 0.770 0.353
5 Pm 0.500 0.732 0.685
6 Pm 0.000 0.232 0.815
7 Er 0.500 0.500 0.500
8 Pm 0.500 0.268 0.315
9 Dy 0.500 0.230 0.647
10 Sm 0.500 0.500 0.000
11 Sm 0.000 0.000 0.500
12 Dy 0.000 0.730 0.853

ΔE_f, eV/atom: 0.265
V, Å³/atom: 33.53
Space-group type: Pnnm

***

Entry from Alexandria: an optimized crystal structure of LaZr2Zn (PBE).

abc: 5.151 3.219 5.873
angles: 89.89 90.00 90.00
Atoms (fractional coordinates):
1 Zr 0.000 0.875 0.033
2 Zn 0.500 0.875 0.749
3 La 0.000 0.377 0.547
4 Zr 0.500 0.373 0.172

ΔE_f, eV/atom: 0.041
V, Å³/atom: 24.35
Space-group type: Pm